Compound: AcSiSn2Ru2
Source: Alexandria
Functional: PBE-GGA
Structure: relaxed

abc: 4.6132 4.6132 6.1972
angles: 90.00 90.00 90.00
Last column: nearest neighbours and their distance in Å.
Atoms (fractional coordinates):
Si1 0.0000 0.0000 0.0000  4 Ru 2.31
Ru1 0.5000 0.0000 0.0000  2 Si 2.31
Ru2 0.0000 0.5000 0.0000  2 Si 2.31
Ac1 0.0000 0.0000 0.5000  2 Si 3.10
Sn1 0.5000 0.5000 0.2611  4 Ru 2.82, 1 Sn 2.96
Sn2 0.5000 0.5000 0.7389  4 Ru 2.82, 1 Sn 2.96

uncorrected energy: -38.209 eV/cell
formation energy (no corrections): -0.353 eV/atom

Compound: AcTaSi2Ru
Source: Alexandria
Functional: PBE-GGA
Structure: relaxed

abc: 4.1959 4.1959 6.3703
angles: 109.23 109.23 90.00
Last column: nearest neighbours and their distance in Å.
Atoms (fractional coordinates):
Si1 0.6198 0.6198 0.2396  2 Ru 2.56, 2 Ta 2.56, 1 Si 2.70
Ru1 0.2500 0.7500 0.5000  4 Si 2.56
Si2 0.3802 0.3802 0.7604  2 Ta 2.56, 2 Ru 2.56, 1 Si 2.70
Ac1 0.0000 0.0000 0.0000  8 Si 3.26, 4 Ta 3.51, 4 Ru 3.51
Ta1 0.7500 0.2500 0.5000  4 Si 2.56

uncorrected energy: -38.816 eV/cell
formation energy (no corrections): -0.547 eV/atom

Compound: AcSmRu2
Source: Alexandria
Functional: PBE-GGA
Structure: relaxed

abc: 3.5815 3.5815 7.1242
angles: 90.00 90.00 90.00
Last column: nearest neighbours and their distance in Å.
Atoms (fractional coordinates):
Ac1 0.5000 0.5000 0.5000  8 Ru 3.13
Ru1 0.0000 0.0000 0.7593  4 Sm 3.06, 4 Ac 3.13
Sm1 0.5000 0.5000 0.0000  8 Ru 3.06
Ru2 0.0000 0.0000 0.2407  4 Sm 3.06, 4 Ac 3.13

uncorrected energy: -27.347 eV/cell
energy of formation from the pure elements: 0.0 eV per formula unit
energy above the lowest structure with this stoichiometry: 0.0124 eV per atom

Compound: AcSm4Ru
Source: Alexandria
Functional: PBE-GGA
Structure: relaxed

abc: 6.1780 7.6655 9.7442
angles: 113.16 108.48 90.00
Last column: nearest neighbours and their distance in Å.
Atoms (fractional coordinates):
Sm1 0.3924 0.6336 0.7845  2 Ru 2.99
Ac1 0.2010 0.2010 0.4019  12 Sm 3.71-3.99
Ac2 0.7990 0.7990 0.5981  12 Sm 3.71-3.99
Sm2 0.6076 0.3664 0.2155  2 Ru 2.99
Sm3 0.1636 0.6638 0.3275  2 Ru 3.18, 2 Sm 3.54
Sm4 0.0000 0.7900 0.0000  2 Ru 2.74
Sm5 0.6076 0.8491 0.2155  2 Ru 2.99
Sm6 0.0000 0.2100 0.0000  2 Ru 2.74
Ru1 0.2582 0.5000 0.0001  6 Sm 2.74-2.99, 1 Ru 2.99
Ru2 0.7418 0.5000 0.9999  6 Sm 2.74-2.99, 1 Ru 2.99
Sm7 0.3924 0.1509 0.7845  2 Ru 2.99
Sm8 0.8364 0.3362 0.6725  2 Ru 3.18, 2 Sm 3.54

uncorrected energy: -65.266 eV/cell
energy of formation from the pure elements: -0.4 eV per formula unit

Compound: AcSm3Ru2
Source: Alexandria
Functional: PBE-GGA
Structure: relaxed

abc: 5.2190 9.3981 8.4069
angles: 123.88 90.00 106.12
Last column: nearest neighbours and their distance in Å.
Atoms (fractional coordinates):
Ac1 0.1276 0.2551 0.0385  5 Ru 3.20-3.39, 3 Sm 3.43-3.56
Ru1 0.7730 0.5460 0.1805  5 Sm 2.87-3.01
Sm1 0.6836 0.3672 0.3792  2 Ru 2.75-2.92
Ru2 0.4965 0.9930 0.1510  1 Ru 2.61, 2 Sm 2.75-2.87
Sm2 0.9268 0.8535 0.5816  3 Ru 2.87-3.19
Ac2 0.8724 0.7449 0.9615  5 Ru 3.20-3.39, 3 Sm 3.43-3.56
Sm3 0.0732 0.1465 0.4184  3 Ru 2.87-3.19
Sm4 0.3702 0.7404 0.2536  4 Ru 2.87-3.01
Sm5 0.6298 0.2596 0.7464  4 Ru 2.87-3.01
Ru3 0.2270 0.4540 0.8195  5 Sm 2.87-3.01
Ru4 0.5035 0.0070 0.8490  1 Ru 2.61, 2 Sm 2.75-2.87
Sm6 0.3164 0.6328 0.6208  2 Ru 2.75-2.92

uncorrected energy: -74.502 eV/cell
energy of formation from the pure elements: -0.4 eV per formula unit

Compound: AcSmRu2
Source: Alexandria
Functional: PBE-GGA
Structure: relaxed

abc: 3.6689 3.6689 8.5312
angles: 77.58 77.58 60.00
Last column: nearest neighbours and their distance in Å.
Atoms (fractional coordinates):
Sm1 0.0000 0.0000 0.0000  6 Ru 2.94
Ru1 0.2511 0.2511 0.2466  3 Sm 2.94, 3 Ac 2.98
Ru2 0.7489 0.7489 0.7534  3 Sm 2.94, 3 Ac 2.98
Ac1 0.5000 0.5000 0.5000  6 Ru 2.98

uncorrected energy: -26.232 eV/cell
energy of formation from the pure elements: 1.1 eV per formula unit
energy above the lowest structure with this stoichiometry: 0.2912 eV per atom

Compound: Ac3Sm4Ru4
Source: Alexandria
Functional: PBE-GGA
Structure: relaxed

abc: 4.1274 8.9101 9.4745
angles: 118.05 102.58 90.00
Last column: nearest neighbours and their distance in Å.
Atoms (fractional coordinates):
Sm1 0.3318 0.1413 0.6636  4 Ru 2.85-3.15
Sm2 0.3318 0.5224 0.6636  4 Ru 2.85-3.15
Ac1 0.1053 0.1053 0.2107  6 Ru 3.28-3.31, 1 Ac 3.41, 4 Sm 3.59
Ac2 0.0000 0.5000 0.0000  4 Ru 3.26
Sm3 0.6682 0.4776 0.3364  4 Ru 2.85-3.15
Ac3 0.8947 0.8947 0.7893  6 Ru 3.28-3.31, 1 Ac 3.41, 4 Sm 3.59
Ru1 0.2377 0.7377 0.4753  6 Sm 2.90-3.15
Ru2 0.7623 0.2623 0.5247  6 Sm 2.90-3.15
Ru3 0.5000 0.2174 0.0000  2 Sm 2.85
Sm4 0.6682 0.8587 0.3364  4 Ru 2.85-3.15
Ru4 0.5000 0.7826 0.0000  2 Sm 2.85

uncorrected energy: -69.792 eV/cell
energy of formation from the pure elements: -1.5 eV per formula unit

Compound: Ac3SmRu2
Source: Alexandria
Functional: PBE-GGA
Structure: relaxed

abc: 4.2989 9.1292 10.9749
angles: 79.86 78.74 76.38
Last column: nearest neighbours and their distance in Å.
Atoms (fractional coordinates):
Ac1 0.0622 0.0699 0.8072  3 Ru 2.91-2.92
Ac2 0.1840 0.1920 0.4408  3 Ru 2.92-3.00
Ac3 0.8160 0.8080 0.5592  3 Ru 2.92-3.00
Ru1 0.6252 0.1261 0.6236  1 Sm 2.83, 5 Ac 2.91-3.00
Ru2 0.8756 0.3803 0.8683  2 Sm 2.84, 4 Ac 2.88-2.96
Sm1 0.4414 0.4212 0.6952  3 Ru 2.83-2.84
Sm2 0.5586 0.5788 0.3048  3 Ru 2.83-2.84
Ac4 0.9378 0.9301 0.1928  3 Ru 2.91-2.92
Ac5 0.6884 0.6804 0.9431  3 Ru 2.88-2.96
Ac6 0.3116 0.3196 0.0569  3 Ru 2.88-2.96
Ru3 0.1244 0.6197 0.1317  2 Sm 2.84, 4 Ac 2.88-2.96
Ru4 0.3748 0.8739 0.3764  1 Sm 2.83, 5 Ac 2.91-3.00

uncorrected energy: -73.149 eV/cell
energy of formation from the pure elements: -1.0 eV per formula unit

Compound: AcSmRu2
Source: Alexandria
Functional: PBE-GGA
Structure: relaxed

abc: 5.0535 5.0535 5.0535
angles: 60.00 60.00 60.00
Last column: nearest neighbours and their distance in Å.
Atoms (fractional coordinates):
Ru1 0.7500 0.7500 0.7500  4 Ac 3.09, 4 Sm 3.09
Ac1 0.5000 0.5000 0.5000  8 Ru 3.09
Sm1 0.0000 0.0000 0.0000  8 Ru 3.09
Ru2 0.2500 0.2500 0.2500  4 Ac 3.09, 4 Sm 3.09

uncorrected energy: -27.396 eV/cell
energy of formation from the pure elements: 0.0 eV per formula unit
energy above the lowest structure with this stoichiometry: 0.0000 eV per atom

Compound: AcSmSnRu
Source: Alexandria
Functional: PBE-GGA
Structure: relaxed

abc: 5.3619 5.3619 5.3619
angles: 60.00 60.00 60.00
Last column: nearest neighbours and their distance in Å.
Atoms (fractional coordinates):
Sm1 0.7500 0.7500 0.7500  4 Sn 3.28, 4 Ru 3.28
Sn1 0.0000 0.0000 0.0000  4 Ac 3.28, 4 Sm 3.28
Ru1 0.5000 0.5000 0.5000  4 Sm 3.28, 4 Ac 3.28
Ac1 0.2500 0.2500 0.2500  4 Sn 3.28, 4 Ru 3.28

uncorrected energy: -22.840 eV/cell
energy of formation from the pure elements: -0.7 eV per formula unit

Compound: SrAc2SmRu
Source: Alexandria
Functional: PBE-GGA
Structure: relaxed

abc: 5.6555 5.8782 5.8782
angles: 90.00 90.00 90.00
Last column: nearest neighbours and their distance in Å.
Atoms (fractional coordinates):
Sm1 0.5000 0.0000 0.0000  2 Ru 2.83
Ac1 0.0000 0.0000 0.5000  2 Ru 2.94
Ac2 0.0000 0.5000 0.0000  2 Ru 2.94
Sr1 0.5000 0.5000 0.5000  8 Ac 4.08, 4 Sm 4.16
Ru1 0.0000 0.0000 0.0000  2 Sm 2.83, 4 Ac 2.94

uncorrected energy: -24.388 eV/cell
energy of formation from the pure elements: -0.5 eV per formula unit

Compound: AcSmZnRu
Source: Alexandria
Functional: PBE-GGA
Structure: relaxed

abc: 5.1900 5.1900 5.1900
angles: 60.00 60.00 60.00
Last column: nearest neighbours and their distance in Å.
Atoms (fractional coordinates):
Ac1 0.5000 0.5000 0.5000  4 Ru 3.18, 4 Zn 3.18
Ru1 0.7500 0.7500 0.7500  4 Ac 3.18, 4 Sm 3.18
Sm1 0.0000 0.0000 0.0000  4 Ru 3.18, 4 Zn 3.18
Zn1 0.2500 0.2500 0.2500  4 Ac 3.18, 4 Sm 3.18

uncorrected energy: -19.955 eV/cell
energy of formation from the pure elements: -0.6 eV per formula unit
energy above the lowest structure with this stoichiometry: 0.0483 eV per atom

Compound: AcSmZnRu
Source: Alexandria
Functional: PBE-GGA
Structure: relaxed

abc: 4.2277 4.4761 5.8452
angles: 90.00 111.20 90.00
Last column: nearest neighbours and their distance in Å.
Atoms (fractional coordinates):
Ac1 0.1471 0.0000 0.2941  3 Ru 3.05-3.20, 4 Zn 3.22
Sm1 0.8645 0.5000 0.7291  3 Zn 3.01-3.30, 4 Ru 3.15
Ru1 0.4270 0.0000 0.8540  2 Zn 2.68
Zn1 0.5614 0.5000 0.1229  2 Ru 2.68

uncorrected energy: -20.148 eV/cell
energy of formation from the pure elements: -0.8 eV per formula unit
energy above the lowest structure with this stoichiometry: 0.0000 eV per atom